This record from Alexandria describes a relaxed Er2GaRu5W2 crystal. The functional is PBE.

Lattice parameters (Å, degrees): 10.525 10.525 3.159 90.00 90.00 90.00
Sites, in units of the cell vectors:
Er 0.168 0.332 0.000
Er 0.332 0.832 0.000
Er 0.668 0.168 0.000
Er 0.832 0.668 0.000
Ga 0.000 0.000 0.000
Ga 0.500 0.500 0.000
Ru 0.000 0.500 0.500
Ru 0.059 0.808 0.500
Ru 0.192 0.059 0.500
Ru 0.308 0.559 0.500
Ru 0.441 0.308 0.500
Ru 0.500 0.000 0.500
Ru 0.559 0.692 0.500
Ru 0.692 0.441 0.500
Ru 0.808 0.941 0.500
Ru 0.941 0.192 0.500
W 0.139 0.639 0.000
W 0.361 0.139 0.000
W 0.639 0.861 0.000
W 0.861 0.361 0.000

Summary:
ΔE_f (eV per atom): -0.072
Total DFT energy (no corrections) (eV/atom): -8.52